Entry from Alexandria: a relaxed structure of InBr2O (GGA-PBE).

Lattice parameters (Å, degrees): 4.9177 4.9177 4.9177 60.00 60.00 60.00
Fractional positions:
In (0.0000, 0.0000, 0.0000)
Br (0.2500, 0.2500, 0.2500)
Br (0.7500, 0.7500, 0.7500)
O (0.5000, 0.5000, 0.5000)

Its formation energy (no corrections) is 0.26 eV per atom. Its excess energy over the best structure of this formula in the dataset is 1088.1 meV/atom. The space group is No. 225. Its crystal system is cubic.

=====

Entry from Alexandria: a relaxed structure of AlZn2Ni (GGA-PBE).

Lattice parameters (Å, degrees): 5.6552 5.6552 5.6552 100.48 100.48 129.52
Fractional positions:
Al (0.0000, 0.0000, 0.0000)
Al (0.7500, 0.2500, 0.5000)
Zn (0.1714, 0.6250, 0.0464)
Zn (0.3750, 0.4214, 0.5464)
Zn (0.5786, 0.1250, 0.9536)
Zn (0.8750, 0.8286, 0.4536)
Ni (0.2500, 0.7500, 0.5000)
Ni (0.5000, 0.5000, 0.0000)

The space group is No. 122. Its crystal system is tetragonal. As for the formation energy: 0.11 eV per atom.

=====

Entry from Alexandria: a relaxed structure of TlAg2Rh2 (GGA-PBE).

Lattice parameters (Å, degrees): 6.8966 6.8966 3.9477 90.00 90.00 90.00
Fractional positions:
Tl (0.0000, 0.0000, 0.0000)
Tl (0.5000, 0.5000, 0.0000)
Ag (0.1645, 0.3355, 0.5000)
Ag (0.3355, 0.8355, 0.5000)
Ag (0.6645, 0.1645, 0.5000)
Ag (0.8355, 0.6645, 0.5000)
Rh (0.1303, 0.6303, 0.0000)
Rh (0.3697, 0.1303, 0.0000)
Rh (0.6303, 0.8697, 0.0000)
Rh (0.8697, 0.3697, 0.0000)

Its excess energy over the best structure of this formula in the dataset is 0.0 meV/atom. The space group is No. 127. Its crystal system is tetragonal. As for the formation energy: 0.29 eV per atom.

=====

Entry from Alexandria: a relaxed structure of LiVSe3 (GGA-PBE).

Lattice parameters (Å, degrees): 4.1362 4.1362 15.0777 90.00 90.00 120.00
Fractional positions:
Li (0.0000, 0.0000, 0.0000)
Li (0.0000, 0.0000, 0.5000)
V (0.3333, 0.6667, 0.2500)
V (0.6667, 0.3333, 0.7500)
Se (0.0000, 0.0000, 0.2500)
Se (0.0000, 0.0000, 0.7500)
Se (0.3333, 0.6667, 0.0913)
Se (0.3333, 0.6667, 0.4087)
Se (0.6667, 0.3333, 0.5913)
Se (0.6667, 0.3333, 0.9087)

Its formation energy (no corrections) is -0.48 eV per atom. Its excess energy over the best structure of this formula in the dataset is 265.1 meV/atom. The space group is No. 194. Its crystal system is hexagonal.

=====

Entry from Alexandria: a relaxed structure of KWSe (GGA-PBE).

Lattice parameters (Å, degrees): 5.1981 5.1981 2.7986 90.00 90.00 120.00
Fractional positions:
K (0.0000, 0.0000, 0.0000)
W (0.3333, 0.6667, 0.5000)
Se (0.6667, 0.3333, 0.5000)

Its formation energy (no corrections) is 1.16 eV per atom. Its excess energy over the best structure of this formula in the dataset is 736.0 meV/atom. The space group is No. 187. Its crystal system is hexagonal.

=====

Entry from Alexandria: a relaxed structure of CaZrNi3 (GGA-PBE).

Lattice parameters (Å, degrees): 4.7225 4.7225 4.7225 90.00 90.00 90.00
Fractional positions:
Ca (0.0000, 0.0000, 0.0000)
Zr (0.5000, 0.5000, 0.5000)
Ni (0.0000, 0.5000, 0.5000)
Ni (0.5000, 0.0000, 0.5000)
Ni (0.5000, 0.5000, 0.0000)

Its excess energy over the best structure of this formula in the dataset is 0.0 meV/atom. The space group is No. 221. Its crystal system is cubic. As for the formation energy: 0.50 eV per atom.

=====

Entry from Alexandria: a relaxed structure of Si2P (GGA-PBE).

Lattice parameters (Å, degrees): 4.9999 6.1023 3.2620 90.00 90.00 90.00
Fractional positions:
Si (0.1805, 0.1290, 0.0000)
Si (0.3195, 0.6290, 0.5000)
Si (0.6805, 0.3710, 0.5000)
Si (0.8195, 0.8710, 0.0000)
P (0.0000, 0.5000, 0.0000)
P (0.5000, 0.0000, 0.5000)

Its formation energy (no corrections) is 0.33 eV per atom. Its excess energy over the best structure of this formula in the dataset is 328.1 meV/atom. The space group is No. 58. Its crystal system is orthorhombic.

=====

Entry from Alexandria: a relaxed structure of BaInCuF7 (GGA-PBE).

Lattice parameters (Å, degrees): 6.8415 6.8415 7.9189 113.90 113.90 90.15
Fractional positions:
Ba (0.1147, 0.8853, 0.7500)
Ba (0.8853, 0.1147, 0.2500)
In (0.5000, 0.5000, 0.0000)
In (0.5000, 0.5000, 0.5000)
Cu (0.0000, 0.5000, 0.0000)
Cu (0.5000, 0.0000, 0.5000)
F (0.0010, 0.2264, 0.0057)
F (0.1546, 0.4092, 0.8268)
F (0.2001, 0.5076, 0.4984)
F (0.2264, 0.0010, 0.5057)
F (0.4073, 0.5927, 0.2500)
F (0.4092, 0.1546, 0.3268)
F (0.4924, 0.7999, 0.0016)
F (0.5076, 0.2001, 0.9984)
F (0.5908, 0.8454, 0.6732)
F (0.5927, 0.4073, 0.7500)
F (0.7736, 0.9990, 0.4943)
F (0.7999, 0.4924, 0.5016)
F (0.8454, 0.5908, 0.1732)
F (0.9990, 0.7736, 0.9943)

Its formation energy (no corrections) is -2.65 eV per atom. The space group is No. 15. Its crystal system is monoclinic.

=====

| no. | M_tot (μB per formula unit) | theoretical density (g/cm³) |
| --- | --- | --- |
| 1 | 1.2 | 5.74 |
| 2 | 0.0 | 5.70 |
| 3 | 1.0 | 11.07 |
| 4 | 0.3 | 4.38 |
| 5 | 1.7 | 7.66 |
| 6 | 0.0 | 4.85 |
| 7 | 0.0 | 2.91 |
| 8 | 0.9 | 4.91 |